(1)
An optimized crystal structure of LuSc2Cu4Si2Ge2, computed with PBE.

Cell and atoms, written as CIF:
```
data_LuSc2Cu4Si2Ge2
_cell_length_a 3.9918
_cell_length_b 6.5690
_cell_length_c 13.3234
_cell_angle_alpha 90.00
_cell_angle_beta 90.00
_cell_angle_gamma 90.00
_space_group_name_H-M_alt 'I m m m'
_space_group_IT_number 71
_space_group_name_Hall '-I 2 2'
loop_
_atom_site_label
_atom_site_type_symbol
_atom_site_fract_x
_atom_site_fract_y
_atom_site_fract_z
Lu1 Lu 0.0000 0.0000 0.0000
Sc1 Sc 0.0000 0.5000 0.1270
Cu1 Cu 0.0000 0.3072 0.3237
Si1 Si 0.0000 0.0000 0.2199
Ge1 Ge 0.0000 0.1903 0.5000
```

Values from the calculation:
E: -5.3552 eV/atom

***

(2)
An optimized crystal structure of Lu2ScCu4Si2Ge2, computed with PBE.

Cell and atoms, written as CIF:
```
data_Lu2ScCu4Si2Ge2
_cell_length_a 4.1037
_cell_length_b 6.4747
_cell_length_c 13.5130
_cell_angle_alpha 90.00
_cell_angle_beta 90.00
_cell_angle_gamma 90.00
_space_group_name_H-M_alt 'I m m m'
_space_group_IT_number 71
_space_group_name_Hall '-I 2 2'
loop_
_atom_site_label
_atom_site_type_symbol
_atom_site_fract_x
_atom_site_fract_y
_atom_site_fract_z
Lu1 Lu 0.0000 0.0000 0.1281
Sc1 Sc 0.0000 0.5000 0.0000
Cu1 Cu 0.0000 0.1929 0.3348
Si1 Si 0.0000 0.3115 0.5000
Ge1 Ge 0.0000 0.5000 0.2145
```

Values from the calculation:
E: -5.1685 eV/atom

***

(3)
An optimized crystal structure of LuSc2Cu4Si2Ge2, computed with PBE.

Cell and atoms, written as CIF:
```
data_LuSc2Cu4Si2Ge2
_cell_length_a 4.0229
_cell_length_b 6.5417
_cell_length_c 13.3250
_cell_angle_alpha 90.00
_cell_angle_beta 90.00
_cell_angle_gamma 90.00
_space_group_name_H-M_alt 'I m m m'
_space_group_IT_number 71
_space_group_name_Hall '-I 2 2'
loop_
_atom_site_label
_atom_site_type_symbol
_atom_site_fract_x
_atom_site_fract_y
_atom_site_fract_z
Lu1 Lu 0.0000 0.0000 0.0000
Sc1 Sc 0.0000 0.5000 0.1254
Cu1 Cu 0.0000 0.3066 0.3337
Si1 Si 0.0000 0.1819 0.5000
Ge1 Ge 0.0000 0.0000 0.2200
```

Values from the calculation:
E: -5.3378 eV/atom

***

What is the E in the second record?
-5.1685 eV/atom